# 1
Below is a geometry-optimized K3Pd structure, with properties calculated at the PBE level.

Computed properties:
calculated volume: 965.9 Å³ per cell
E: -2.034 eV per atom

Cell lengths 10.2810, 10.2810, 10.5515 Å; angles 90.00, 90.00, 120.00 degrees
With the nearest neighbours (Å) after each atom.
Space group P6_3cm (No. 185)
One atom of each set of equivalent atoms:
K  0.0000  0.0000  0.0000  3 Pd 3.40, 3 K 3.76
K  0.0000  0.2803  0.7714  3 Pd 3.47-3.64, 5 K 3.76-3.86
K  0.0000  0.3819  0.1223  2 Pd 3.45-3.54, 4 K 3.81-3.86
K  0.3333  0.6667  0.4156  3 Pd 3.48, 3 K 3.88
Pd  0.0000  0.3256  0.4450  8 K 3.40-3.64

# 2
Below is a geometry-optimized KPd8 structure, with properties calculated at the PBE level.

Computed properties:
calculated volume: 1341.3 Å³ per cell
E: -4.511 eV per atom

Cell lengths 6.6068, 8.5301, 23.8008 Å; angles 90.00, 90.00, 90.00 degrees
With the nearest neighbours (Å) after each atom.
Space group Fddd (No. 70, origin choice 2)
One atom of each set of equivalent atoms:
K  0.1250  0.1250  0.1250  8 Pd 2.98-3.32
Pd  0.0106  0.2591  0.6692  7 Pd 2.59-2.85
Pd  0.0488  0.2724  0.9975  9 Pd 2.68-2.89

# 3
Below is a geometry-optimized K2Pd structure, with properties calculated at the PBE level.

Computed properties:
calculated volume: 473.1 Å³ per cell
E: -2.395 eV per atom

Cell lengths 7.7923, 7.7923, 7.7923 Å; angles 90.00, 90.00, 90.00 degrees
With the nearest neighbours (Å) after each atom.
Space group Fm-3m (No. 225)
One atom of each set of equivalent atoms:
K  0.2500  0.2500  0.2500  4 Pd 3.37
Pd  0.0000  0.0000  0.0000  8 K 3.37

# 4
Below is a geometry-optimized KPd structure, with properties calculated at the PBE level.

Computed properties:
relative energy among the computed polymorphs: 0.000 eV per atom
calculated volume: 46.2 Å³ per cell

Cell lengths 3.2005, 3.2005, 5.2102 Å; angles 90.00, 90.00, 120.00 degrees
With the nearest neighbours (Å) after each atom.
Space group P-6m2 (No. 187)
One atom of each set of equivalent atoms:
K  0.0000  0.0000  0.0000  6 Pd 3.19, 6 K 3.20
Pd  0.6667  0.3333  0.5000  6 K 3.19, 6 Pd 3.20